# 1
First-principles (PBE) data for a geometry-optimized BeBiIO2 structure, as listed in Alexandria via LeMat-Bulk.

Geometry as CIF:
```
data_BeBiIO2
_cell_length_a 4.176
_cell_length_b 4.176
_cell_length_c 4.606
_cell_angle_alpha 90.00
_cell_angle_beta 90.00
_cell_angle_gamma 90.00
_symmetry_space_group_name_H-M 'P 4/m m m'
_symmetry_Int_Tables_number 123
_symmetry_space_group_name_Hall '-P 4 2'
loop_
_atom_site_label
_atom_site_type_symbol
_atom_site_fract_x
_atom_site_fract_y
_atom_site_fract_z
Be1 Be 0.000 0.000 0.000
Bi1 Bi 0.500 0.500 0.500
I1 I 0.000 0.000 0.500
O1 O 0.000 0.500 0.000
```

Calculated values
N(E_F) (states/eV per cell): 1.51
Volume (Å³ per cell): 80.3
Energy above the most stable polymorph in this dataset (kJ/mol of formula units): 0.0
Size of the total moment (μB/cell): 0.1

---

# 2
First-principles (PBE) data for a geometry-optimized Sc2ZnHAu structure, as listed in Alexandria via LeMat-Bulk.

Geometry as CIF:
```
data_Sc2ZnHAu
_cell_length_a 4.511
_cell_length_b 4.511
_cell_length_c 3.825
_cell_angle_alpha 90.00
_cell_angle_beta 90.00
_cell_angle_gamma 90.00
_symmetry_space_group_name_H-M 'P 4/m m m'
_symmetry_Int_Tables_number 123
_symmetry_space_group_name_Hall '-P 4 2'
loop_
_atom_site_label
_atom_site_type_symbol
_atom_site_fract_x
_atom_site_fract_y
_atom_site_fract_z
Sc1 Sc 0.000 0.500 0.000
Zn1 Zn 0.000 0.000 0.500
H1 H 0.000 0.000 0.000
Au1 Au 0.500 0.500 0.500
```

Calculated values
N(E_F) (states/eV per cell): 3.59
Volume (Å³ per cell): 77.8
Size of the total moment (μB/cell): 0.7
Total DFT energy (no corrections) (eV per atom): -4.59

---

# 3
First-principles (PBE) data for a geometry-optimized Li2HgAs structure, as listed in Alexandria via LeMat-Bulk.

Geometry as CIF:
```
data_Li2HgAs
_cell_length_a 3.021
_cell_length_b 3.880
_cell_length_c 6.001
_cell_angle_alpha 90.00
_cell_angle_beta 90.00
_cell_angle_gamma 90.00
_symmetry_space_group_name_H-M 'P m m m'
_symmetry_Int_Tables_number 47
loop_
_symmetry_equiv_pos_as_xyz
'x,y,z'
'-x,-y,-z'
'-x,-y,z'
'x,y,-z'
'x,-y,-z'
'-x,y,z'
'-x,y,-z'
'x,-y,z'
loop_
_atom_site_label
_atom_site_type_symbol
_atom_site_fract_x
_atom_site_fract_y
_atom_site_fract_z
Li1 Li 0.000 0.000 0.216
Hg1 Hg 0.500 0.500 0.500
As1 As 0.500 0.500 0.000
```

Calculated values
N(E_F) (states/eV per cell): 1.49
Volume (Å³ per cell): 70.3
Size of the total moment (μB/cell): 0.0
Total DFT energy (no corrections) (eV per atom): -2.59

---

> The lowest N(E_F) belongs to which entry?

Li2HgAs

---

> Which of these has the lowest N(E_F)?

Li2HgAs